A) PBE-GGA Tb2CeY6, optimized geometry; N(E_F) = 1.82 states/eV per atom; magnetic moment = 2.397 Bohr magnetons per cell
1.0
6.1844 0.0000 0.0000
-1.0385 6.1034 0.0000
-2.0651 -1.3957 15.3460
Tb Ce Y
4 2 12
direct
0.0219 0.0553 0.3052
0.4773 0.9448 0.1948
0.5227 0.0552 0.8052
0.9781 0.9447 0.6948
0.2504 0.5001 0.7500
0.7496 0.4999 0.2500
0.0837 0.1692 0.9159
0.1396 0.2792 0.5295
0.1966 0.3895 0.1401
0.3028 0.6104 0.3598
0.3606 0.7210 0.9706
0.4167 0.8308 0.5841
0.5833 0.1692 0.4159
0.6394 0.2790 0.0294
0.6972 0.3896 0.6402
0.8034 0.6105 0.8599
0.8604 0.7208 0.4705
0.9163 0.8308 0.0841



B) PBE-GGA Tb2CeY6, optimized geometry; N(E_F) = 1.04 states/eV per atom; magnetic moment = 0.000 Bohr magnetons per cell
1.0
3.6600 2.1131 6.3379
-3.6600 2.1131 6.3379
0.0000 -4.2262 6.3379
Tb Ce Y
2 1 6
direct
0.0000 0.0000 0.0000
0.1767 0.1767 0.1767
0.7370 0.7370 0.7370
0.0270 0.4751 0.4751
0.1952 0.6814 0.6814
0.4751 0.0270 0.4751
0.4751 0.4751 0.0270
0.6814 0.1952 0.6814
0.6814 0.6814 0.1952



The least stable of them is B).



A) PBE-GGA Tb2CeY3, optimized geometry; N(E_F) = 2.17 states/eV per atom; magnetic moment = 1.591 Bohr magnetons per cell
1.0
8.9726 -1.7259 0.0000
8.9726 1.7259 0.0000
-6.6675 0.0000 12.4969
Tb Ce Y
4 2 6
direct
0.1569 0.1569 0.4647
0.3210 0.3210 0.1193
0.6790 0.6790 0.8807
0.8431 0.8431 0.5353
0.0471 0.0471 0.6111
0.9529 0.9529 0.3889
0.1005 0.1005 0.0286
0.2416 0.2416 0.2935
0.4605 0.4605 0.7880
0.5395 0.5395 0.2120
0.7584 0.7584 0.7065
0.8995 0.8995 0.9714



B) PBE-GGA Tb2CeY3, optimized geometry; N(E_F) = 1.77 states/eV per atom; magnetic moment = 1.063 Bohr magnetons per cell
1.0
2.5244 -7.5578 0.0000
2.5244 7.5578 0.0000
0.0000 0.0000 5.0329
Tb Ce Y
2 1 3
direct
0.1665 0.8335 0.0000
0.8335 0.1665 0.0000
0.5000 0.5000 0.0000
0.0000 0.0000 0.5000
0.3353 0.6647 0.5000
0.6647 0.3353 0.5000



The least stable of them is A).



A) PBE-GGA TbCeY2, optimized geometry; N(E_F) = 2.10 states/eV per atom; magnetic moment = 0.524 Bohr magnetons per cell
1.0
1.7834 1.0297 11.4683
-1.7834 1.0297 11.4683
0.0000 -2.0593 11.4683
Tb Ce Y
1 1 2
direct
0.0000 0.0000 0.0000
0.1658 0.1658 0.1658
0.5818 0.5818 0.5818
0.7503 0.7503 0.7503



B) PBE-GGA TbCeY2, optimized geometry; N(E_F) = 2.60 states/eV per atom; magnetic moment = 1.093 Bohr magnetons per cell
1.0
0.0000 4.0210 4.0210
4.0210 0.0000 4.0210
4.0210 4.0210 0.0000
Tb Ce Y
1 1 2
direct
0.0000 0.0000 0.0000
0.5000 0.5000 0.5000
0.2500 0.2500 0.2500
0.7500 0.7500 0.7500



The least stable of them is B).



A) PBE-GGA TbCeY2, optimized geometry; N(E_F) = 2.06 states/eV per atom; magnetic moment = 0.767 Bohr magnetons per cell
1.0
3.5430 0.0000 0.0000
0.0000 3.5430 0.0000
0.0000 0.0000 10.1002
Tb Ce Y
1 1 2
direct
0.0000 0.0000 0.0000
0.0000 0.0000 0.5000
0.5000 0.5000 0.2537
0.5000 0.5000 0.7463



B) PBE-GGA TbCeY2, optimized geometry; N(E_F) = 1.74 states/eV per atom; magnetic moment = 0.593 Bohr magnetons per cell
1.0
5.0278 0.0000 0.0000
0.0000 5.0278 0.0000
0.0000 0.0000 5.0296
Tb Ce Y
1 1 2
direct
0.0000 0.0000 0.0000
0.5000 0.5000 0.0000
0.0000 0.5000 0.5000
0.5000 0.0000 0.5000



The least stable of them is B).